A plane-wave DFT calculation with GGA+U was carried out for an optimized crystal structure of K4MoO5.

Output
For the distance to the lowest polymorph of the same formula, the calculation gives 0.013 eV/atom. The value obtained for the total magnetic moment is 0.00 Bohr magnetons per cell. The calculation puts the volume at 186 Å³ per cell.

POSCAR file:
```
K4MoO5
1.0
-4.0856 -3.2705 -2.0563
1.4321 -6.2007 -0.6711
-3.9201 -2.6466 4.3103
O K Mo
5 4 1
Direct
0.9250 0.2907 0.8490
0.3920 0.0000 0.0000
0.0646 0.7093 0.1510
0.7739 0.1510 0.2907
0.2157 0.8490 0.7093
0.4132 0.4025 0.8069
0.8156 0.8069 0.5975
0.6225 0.5975 0.1931
0.2200 0.1931 0.4025
0.0679 0.0000 0.0000
```